Entry 1:
The following is a DFT calculation (PBE) of crystalline Zn2Ag2Te at its relaxed geometry.

abc: 7.1133 7.1133 4.0475
angles: 90.00 90.00 90.00
With the nearest neighbours (Å) after each atom.
Fractional positions:
Zn (0.1293, 0.3707, 0.0000)  1 Zn 2.60, 2 Te 2.79, 4 Ag 2.82
Zn (0.3707, 0.8707, 0.0000)  1 Zn 2.60, 2 Te 2.79, 4 Ag 2.82
Zn (0.6293, 0.1293, 0.0000)  1 Zn 2.60, 2 Te 2.79, 4 Ag 2.82
Zn (0.8707, 0.6293, 0.0000)  1 Zn 2.60, 2 Te 2.79, 4 Ag 2.82
Ag (0.1462, 0.6462, 0.5000)  6 Zn 2.82-3.03, 1 Ag 2.94
Ag (0.3538, 0.1462, 0.5000)  6 Zn 2.82-3.03, 1 Ag 2.94
Ag (0.6462, 0.8538, 0.5000)  6 Zn 2.82-3.03, 1 Ag 2.94
Ag (0.8538, 0.3538, 0.5000)  6 Zn 2.82-3.03, 1 Ag 2.94
Te (0.0000, 0.0000, 0.0000)  4 Zn 2.79
Te (0.5000, 0.5000, 0.0000)  4 Zn 2.79

Computed properties:
V: 20.5 Å³/atom
DFT total energy: -21.42 eV per cell
Distance to the lowest polymorph of the same formula: 76.9 meV/atom
Total moment: 0.00 μB/f.u.
ΔE_f (raw): 0.1364 eV per atom

---

Entry 2:
The following is a DFT calculation (PBE) of crystalline SmZn4Pb at its relaxed geometry.

abc: 5.5746 5.5746 5.5746
angles: 60.00 60.00 60.00
With the nearest neighbours (Å) after each atom.
Fractional positions:
Sm (0.0000, 0.0000, 0.0000)  12 Zn 3.27, 4 Pb 3.41
Zn (0.3745, 0.3745, 0.3745)  6 Zn 2.78-2.80
Zn (0.3745, 0.3745, 0.8765)  6 Zn 2.78-2.80
Zn (0.3745, 0.8765, 0.3745)  6 Zn 2.78-2.80
Zn (0.8765, 0.3745, 0.3745)  6 Zn 2.78-2.80
Pb (0.7500, 0.7500, 0.7500)  12 Zn 3.27, 4 Sm 3.41

Computed properties:
V: 20.4 Å³/atom
DFT total energy: -14.31 eV per cell
Total moment: 0.00 μB/f.u.
Energy of formation from the pure elements: -131 meV per atom

---

Entry 3:
The following is a DFT calculation (PBE) of crystalline PaInIr4 at its relaxed geometry.

abc: 5.3321 5.3321 5.3321
angles: 60.00 60.00 60.00
With the nearest neighbours (Å) after each atom.
Fractional positions:
Pa (0.0000, 0.0000, 0.0000)  12 Ir 3.13, 4 In 3.27
In (0.7500, 0.7500, 0.7500)  12 Ir 3.12, 4 Pa 3.27
Ir (0.3759, 0.3759, 0.3759)  6 Ir 2.65-2.69
Ir (0.3759, 0.3759, 0.8723)  6 Ir 2.65-2.69
Ir (0.3759, 0.8723, 0.3759)  6 Ir 2.65-2.69
Ir (0.8723, 0.3759, 0.3759)  6 Ir 2.65-2.69

Computed properties:
V: 17.9 Å³/atom
DFT total energy: -50.57 eV per cell
Total moment: 0.00 μB/f.u.
Energy of formation from the pure elements: -481 meV per atom

---

Entry 4:
The following is a DFT calculation (PBE) of crystalline CeZn2Cd9 at its relaxed geometry.

abc: 9.1272 9.1272 9.1272
angles: 99.95 99.95 130.87
With the nearest neighbours (Å) after each atom.
Fractional positions:
Ce (0.3750, 0.6250, 0.7500)  18 Cd 3.55-3.84
Ce (0.6250, 0.3750, 0.2500)  18 Cd 3.55-3.84
Zn (0.0000, 0.0000, 0.0000)  10 Cd 2.83-3.08
Zn (0.0000, 0.0000, 0.5000)  10 Cd 2.83-3.08
Zn (0.0000, 0.5000, 0.0000)  10 Cd 2.83-3.08
Zn (0.5000, 0.0000, 0.5000)  10 Cd 2.83-3.08
Cd (0.1225, 0.5536, 0.3266)  2 Zn 2.83-2.91, 6 Cd 2.84-3.12
Cd (0.1225, 0.7959, 0.5689)  2 Zn 2.83-2.91, 6 Cd 2.84-3.12
Cd (0.1250, 0.8750, 0.2500)  4 Zn 3.08, 8 Cd 3.12
Cd (0.2041, 0.2730, 0.3266)  2 Zn 2.83-2.91, 6 Cd 2.84-3.12
Cd (0.2041, 0.8775, 0.9311)  2 Zn 2.83-2.91, 6 Cd 2.84-3.12
Cd (0.2730, 0.2041, 0.8266)  2 Zn 2.83-2.91, 6 Cd 2.84-3.12
Cd (0.2730, 0.4464, 0.0689)  2 Zn 2.83-2.91, 6 Cd 2.84-3.12
Cd (0.4464, 0.2730, 0.5689)  2 Zn 2.83-2.91, 6 Cd 2.84-3.12
Cd (0.4464, 0.8775, 0.1734)  2 Zn 2.83-2.91, 6 Cd 2.84-3.12
Cd (0.5536, 0.1225, 0.8266)  2 Zn 2.83-2.91, 6 Cd 2.84-3.12
Cd (0.5536, 0.7270, 0.4311)  2 Zn 2.83-2.91, 6 Cd 2.84-3.12
Cd (0.7270, 0.5536, 0.9311)  2 Zn 2.83-2.91, 6 Cd 2.84-3.12
Cd (0.7270, 0.7959, 0.1734)  2 Zn 2.83-2.91, 6 Cd 2.84-3.12
Cd (0.7959, 0.1225, 0.0689)  2 Zn 2.83-2.91, 6 Cd 2.84-3.12
Cd (0.7959, 0.7270, 0.6734)  2 Zn 2.83-2.91, 6 Cd 2.84-3.12
Cd (0.8750, 0.1250, 0.7500)  4 Zn 3.08, 8 Cd 3.12
Cd (0.8775, 0.2041, 0.4311)  2 Zn 2.83-2.91, 6 Cd 2.84-3.12
Cd (0.8775, 0.4464, 0.6734)  2 Zn 2.83-2.91, 6 Cd 2.84-3.12

Computed properties:
V: 21.8 Å³/atom
DFT total energy: -35.31 eV per cell
Total moment: 1.32 μB/f.u.
Energy of formation from the pure elements: -78 meV per atom